(1)
VASP calculation (GGA+U) on a geometry-optimized CaVTe2O6 structure.

Properties
M_tot ... 0.99 μB per formula unit
N(E_F) ... 0.3 states/eV per cell
Space group ... C2/c
Energy ... -6.03 eV/atom
V ... 334.5 Å³ per cell

Cell: 8.0778 8.0778 6.0086 Å, 107.33 107.33 65.86°
Positions (direct):
Ca 0.1207 0.8793 0.7500
Ca 0.8793 0.1207 0.2500
V 0.2429 0.7571 0.2500
V 0.7571 0.2429 0.7500
Te 0.1138 0.4171 0.7653
Te 0.4171 0.1138 0.2653
Te 0.5829 0.8862 0.7347
Te 0.8862 0.5829 0.2347
O 0.0186 0.8112 0.3292
O 0.1888 0.9814 0.1708
O 0.2307 0.6263 0.9411
O 0.2384 0.3363 0.1817
O 0.3363 0.2384 0.6817
O 0.3737 0.7693 0.5589
O 0.6263 0.2307 0.4411
O 0.6637 0.7616 0.3183
O 0.7616 0.6637 0.8183
O 0.7693 0.3737 0.0589
O 0.8112 0.0186 0.8292
O 0.9814 0.1888 0.6708

---

(2)
VASP calculation (GGA+U) on a geometry-optimized Ca2VTeO6 structure.

Properties
M_tot ... 1.03 μB per formula unit
N(E_F) ... 0.0 states/eV per cell
Space group ... P4mm
Energy ... -6.49 eV/atom
V ... 148.8 Å³ per cell

Cell: 5.6000 5.6000 4.7440 Å, 90.00 90.00 90.00°
Positions (direct):
Ca 0.0000 0.5000 0.0000
Ca 0.5000 0.0000 0.0000
V 0.0000 0.0000 0.5960
Te 0.5000 0.5000 0.6246
O 0.0000 0.0000 0.2332
O 0.2364 0.2364 0.7278
O 0.2364 0.7636 0.7278
O 0.5000 0.5000 0.2175
O 0.7636 0.2364 0.7278
O 0.7636 0.7636 0.7278

---

(3)
VASP calculation (GGA+U) on a geometry-optimized CaTeWO6 structure.

Properties
M_tot ... 0.00 μB per formula unit
N(E_F) ... 0.0 states/eV per cell
Space group ... P-31c
Energy ... -6.60 eV/atom
V ... 258.9 Å³ per cell

Cell: 5.4933 5.4933 9.9072 Å, 90.00 90.00 120.00°
Positions (direct):
Ca 0.0000 0.0000 0.0000
Ca 0.0000 0.0000 0.5000
Te 0.3333 0.6667 0.2500
Te 0.6667 0.3333 0.7500
W 0.3333 0.6667 0.7500
W 0.6667 0.3333 0.2500
O 0.0276 0.3757 0.6404
O 0.0276 0.6519 0.8596
O 0.3481 0.3757 0.8596
O 0.3481 0.9724 0.6404
O 0.3757 0.0276 0.1404
O 0.3757 0.3481 0.3596
O 0.6243 0.6519 0.6404
O 0.6243 0.9724 0.8596
O 0.6519 0.0276 0.3596
O 0.6519 0.6243 0.1404
O 0.9724 0.3481 0.1404
O 0.9724 0.6243 0.3596